Material: V2TcRu
Method: DFT, SCAN
State: PBEsol geometry Values from VASP.

Cell and atoms, written as Quantum ESPRESSO input:
```
&SYSTEM
  ibrav = 0, nat = 4, ntyp = 3
/
ATOMIC_SPECIES
Ru 101.07 Ru.upf
Tc 98.00 Tc.upf
V 50.94 V.upf
ATOMIC_POSITIONS angstrom
Ru -2.730 -1.478 4.113
Tc 0.000 0.000 0.000
V -4.095 -2.217 6.170
V -1.365 -0.739 2.057
CELL_PARAMETERS angstrom
-3.383 -2.144 1.288
0.124 -2.154 3.613
-2.201 1.342 3.326
```

Output
**Symmetry**: No. 225
**Size of the total moment**: 0.576 μB/cell
**Energy relative to the elements**: -0.445 eV/atom